No. 1
VASP calculation (SCAN) on a PBEsol-optimized structure of Sr4TlCu2BiO10.

* energy relative to the elements, uncorrected: -1.87 eV/atom

a b c (Å): 5.2211 5.2211 9.7100
angles (deg): 105.60 105.60 90.00
Last column: nearest neighbours and their distance in Å.
Positions (direct):
Sr 0.6481 0.1481 0.2962  9 O 2.60-2.68
Sr 0.1481 0.6481 0.2962  9 O 2.60-2.68
Sr 0.8519 0.3519 0.7038  9 O 2.60-2.68
Sr 0.3519 0.8519 0.7038  9 O 2.60-2.68
Tl 0.5000 0.5000 0.0000  2 O 2.06
Cu 0.2461 0.2461 0.4923  4 O 1.85
Cu 0.7539 0.7539 0.5077  4 O 1.85
Bi 0.0000 0.0000 0.0000  2 O 2.19
O 0.0000 0.0000 0.5000  2 Cu 1.85
O 0.5000 0.5000 0.5000  2 Cu 1.85
O 0.0000 0.5000 0.5000  2 Cu 1.85
O 0.5000 0.0000 0.5000  2 Cu 1.85
O 0.1221 0.1221 0.2443  1 Bi 2.19, 1 Cu 2.23
O 0.6148 0.6148 0.2296  1 Tl 2.06
O 0.3852 0.3852 0.7704  1 Tl 2.06
O 0.8779 0.8779 0.7557  1 Bi 2.19, 1 Cu 2.23
O 0.0000 0.5000 0.0000  2 Tl 2.61, 2 Bi 2.61, 2 Sr 2.66
O 0.5000 0.0000 0.0000  2 Tl 2.61, 2 Bi 2.61, 2 Sr 2.66

---

No. 2
VASP calculation (SCAN) on a PBEsol-optimized structure of AsIr2W.

* formation energy from the elements: 195 meV per atom

a b c (Å): 2.8274 4.5512 4.5836
angles (deg): 89.94 90.00 90.00
Last column: nearest neighbours and their distance in Å.
Positions (direct):
As 0.0000 0.5000 0.5000  4 Ir 2.68, 4 W 2.69, 2 As 2.83
Ir 0.0000 0.0000 0.0000  4 W 2.68, 6 Ir 2.69-2.83
Ir 0.5000 0.0000 0.5000  4 As 2.68, 6 Ir 2.69-2.83
W 0.5000 0.5000 0.0000  4 Ir 2.68, 4 As 2.69, 2 W 2.83

---

No. 3
VASP calculation (SCAN) on a PBEsol-optimized structure of GdNiC2.

* formation energy from the elements: -348 meV per atom

a b c (Å): 3.6093 3.7272 3.7272
angles (deg): 105.86 90.00 90.00
Last column: nearest neighbours and their distance in Å.
Positions (direct):
Ni 0.5000 0.6119 0.3881  4 C 1.92-1.97
C 0.5000 0.4541 0.8518  1 C 1.37
C 0.5000 0.1482 0.5459  1 C 1.37
Gd 0.0000 0.0007 0.9993  8 C 2.63-2.66, 2 Ni 2.93

---

No. 4
VASP calculation (SCAN) on a PBEsol-optimized structure of YAlSb2.

* energy relative to the elements, uncorrected: -0.22 eV/atom

a b c (Å): 3.3259 3.3259 9.0606
angles (deg): 90.00 90.00 91.17
Last column: nearest neighbours and their distance in Å.
Positions (direct):
Y 0.0000 0.0000 0.4747  4 Al 3.12-3.16, 4 Sb 3.24-3.28, 4 Y 3.33
Sb 0.0000 0.0000 0.0563  4 Al 2.89-2.93
Sb 0.5000 0.5000 0.7236  4 Y 3.24-3.28, 4 Sb 3.33
Al 0.5000 0.5000 0.2454  4 Sb 2.89-2.93, 4 Y 3.12-3.16

---

No. 5
VASP calculation (SCAN) on a PBEsol-optimized structure of SrCdSb2I.

* energy relative to the elements, uncorrected: 0.40 eV/atom

a b c (Å): 6.0415 6.1253 6.1253
angles (deg): 90.00 90.00 90.00
Last column: nearest neighbours and their distance in Å.
Positions (direct):
I 0.5000 0.0000 0.0000  2 Sr 3.02
Sb 0.0000 0.0000 0.5000  2 Sr 3.06
Sb 0.0000 0.5000 0.0000  2 Sr 3.06
Sr 0.0000 0.0000 0.0000  2 I 3.02, 4 Sb 3.06
Cd 0.5000 0.5000 0.5000  8 Sb 4.30, 4 I 4.33

---

No. 6
VASP calculation (SCAN) on a PBEsol-optimized structure of Ba2GeMoAu.

* formation energy from the elements: 456 meV per atom

a b c (Å): 4.6658 6.2979 6.2979
angles (deg): 90.00 90.00 90.00
Last column: nearest neighbours and their distance in Å.
Positions (direct):
Ge 0.0000 0.0000 0.0000  2 Au 2.33
Mo 0.5000 0.5000 0.5000  8 Ba 3.92
Au 0.5000 0.0000 0.0000  2 Ge 2.33
Ba 0.0000 0.0000 0.5000  2 Ge 3.15
Ba 0.0000 0.5000 0.0000  2 Ge 3.15

---

No. 7
VASP calculation (SCAN) on a PBEsol-optimized structure of SiTeIr3.

* energy relative to the elements, uncorrected: 2.02 eV/atom

a b c (Å): 4.7967 4.7967 4.7967
angles (deg): 90.00 90.00 90.00
Last column: nearest neighbours and their distance in Å.
Positions (direct):
Si 0.5000 0.5000 0.5000  12 Ir 3.39
Ir 0.0000 0.5000 0.0000  2 Te 2.40
Ir 0.0000 0.0000 0.5000  2 Te 2.40
Ir 0.5000 0.0000 0.0000  2 Te 2.40
Te 0.0000 0.0000 0.0000  6 Ir 2.40

---

No. 8
VASP calculation (SCAN) on a PBEsol-optimized structure of K2LiMgSb.

* energy relative to the elements, uncorrected: -0.01 eV/atom

a b c (Å): 5.3243 6.7447 6.7447
angles (deg): 90.00 90.00 90.00
Last column: nearest neighbours and their distance in Å.
Positions (direct):
Sb 0.0000 0.0000 0.0000  2 Mg 2.66
K 0.0000 0.0000 0.5000  2 Sb 3.37
K 0.0000 0.5000 0.0000  2 Sb 3.37
Mg 0.5000 0.0000 0.0000  2 Sb 2.66
Li 0.5000 0.5000 0.5000  8 K 4.30, 4 Mg 4.77

---

Density of states at the Fermi level, record by record: 1.92, 2.04, 1.28, 1.95, 3.37, 2.23, 3.51, 3.07 states/eV/cell